Material: Nd10Pb4N3
Method: DFT, PBE-GGA
State: optimized geometry

Cell and atoms, written as CIF:
```
data_Nd10Pb4N3
_cell_length_a 5.013
_cell_length_b 5.013
_cell_length_c 18.657
_cell_angle_alpha 97.72
_cell_angle_beta 97.72
_cell_angle_gamma 90.00
_space_group_name_H-M_alt 'P 1'
_space_group_IT_number 1
_space_group_name_Hall 'P 1'
loop_
_atom_site_label
_atom_site_type_symbol
_atom_site_fract_x
_atom_site_fract_y
_atom_site_fract_z
N1 N 0.860 0.860 0.719
N2 N 0.140 0.140 0.281
N3 N 0.000 0.000 0.000
Nd1 Nd 0.792 0.792 0.584
Nd2 Nd 0.636 0.136 0.273
Nd3 Nd 0.000 0.500 0.000
Nd4 Nd 0.864 0.364 0.727
Nd5 Nd 0.208 0.208 0.416
Nd6 Nd 0.136 0.636 0.273
Nd7 Nd 0.932 0.932 0.863
Nd8 Nd 0.364 0.864 0.727
Nd9 Nd 0.068 0.068 0.137
Nd10 Nd 0.500 0.000 0.000
Pb1 Pb 0.299 0.299 0.598
Pb2 Pb 0.432 0.432 0.863
Pb3 Pb 0.701 0.701 0.402
Pb4 Pb 0.568 0.568 0.137
```

Summary:
Crystal system: tetragonal
DFT total energy (eV/cell): -101.76
Space group: I4/mmm, No. 139



Material: Nd5Pb2N
Method: DFT, PBE-GGA
State: optimized geometry

Cell and atoms, written as CIF:
```
data_Nd5Pb2N
_cell_length_a 4.703
_cell_length_b 8.959
_cell_length_c 13.462
_cell_angle_alpha 90.00
_cell_angle_beta 90.00
_cell_angle_gamma 105.22
_space_group_name_H-M_alt 'P 1'
_space_group_IT_number 1
_space_group_name_Hall 'P 1'
loop_
_atom_site_label
_atom_site_type_symbol
_atom_site_fract_x
_atom_site_fract_y
_atom_site_fract_z
N1 N 0.178 0.357 0.250
N2 N 0.822 0.643 0.750
Nd1 Nd 0.296 0.592 0.432
Nd2 Nd 0.296 0.592 0.068
Nd3 Nd 0.704 0.408 0.568
Nd4 Nd 0.275 0.549 0.750
Nd5 Nd 0.903 0.805 0.611
Nd6 Nd 0.704 0.408 0.932
Nd7 Nd 0.097 0.195 0.111
Nd8 Nd 0.097 0.195 0.389
Nd9 Nd 0.725 0.451 0.250
Nd10 Nd 0.903 0.805 0.889
Pb1 Pb 0.089 0.179 0.862
Pb2 Pb 0.911 0.821 0.362
Pb3 Pb 0.089 0.179 0.638
Pb4 Pb 0.911 0.821 0.138
```

Summary:
Crystal system: orthorhombic
DFT total energy (eV/cell): -83.18
Space group: Cmcm, No. 63



Material: Nd2PbN
Method: DFT, PBE-GGA
State: optimized geometry

Cell and atoms, written as CIF:
```
data_Nd2PbN
_cell_length_a 3.699
_cell_length_b 3.699
_cell_length_c 8.465
_cell_angle_alpha 77.38
_cell_angle_beta 77.38
_cell_angle_gamma 60.00
_space_group_name_H-M_alt 'P 1'
_space_group_IT_number 1
_space_group_name_Hall 'P 1'
loop_
_atom_site_label
_atom_site_type_symbol
_atom_site_fract_x
_atom_site_fract_y
_atom_site_fract_z
Nd1 Nd 0.277 0.277 0.169
Nd2 Nd 0.723 0.723 0.831
N1 N 0.000 0.000 0.000
Pb1 Pb 0.500 0.500 0.500
```

Summary:
Crystal system: trigonal
DFT total energy (eV/cell): -25.41
Space group: R-3m, No. 166



Material: Pm2Nd4Pb3N2
Method: DFT, PBE-GGA
State: optimized geometry

Cell and atoms, written as CIF:
```
data_Pm2Nd4Pb3N2
_cell_length_a 4.900
_cell_length_b 4.900
_cell_length_c 13.543
_cell_angle_alpha 100.42
_cell_angle_beta 100.42
_cell_angle_gamma 90.00
_space_group_name_H-M_alt 'P 1'
_space_group_IT_number 1
_space_group_name_Hall 'P 1'
loop_
_atom_site_label
_atom_site_type_symbol
_atom_site_fract_x
_atom_site_fract_y
_atom_site_fract_z
Nd1 Nd 0.085 0.585 0.169
Nd2 Nd 0.915 0.415 0.831
Nd3 Nd 0.415 0.915 0.831
Nd4 Nd 0.585 0.085 0.169
Pb1 Pb 0.179 0.179 0.358
Pb2 Pb 0.821 0.821 0.642
Pb3 Pb 0.000 0.000 0.000
N1 N 0.604 0.604 0.209
N2 N 0.396 0.396 0.791
Pm1 Pm 0.308 0.308 0.615
Pm2 Pm 0.692 0.692 0.385
```

Summary:
Crystal system: tetragonal
DFT total energy (eV/cell): -65.55
Space group: I4/mmm, No. 139



Material: Pr2Nd4Pb3N2
Method: DFT, PBE-GGA
State: optimized geometry

Cell and atoms, written as CIF:
```
data_Pr2Nd4Pb3N2
_cell_length_a 4.914
_cell_length_b 4.914
_cell_length_c 13.644
_cell_angle_alpha 100.37
_cell_angle_beta 100.37
_cell_angle_gamma 90.00
_space_group_name_H-M_alt 'P 1'
_space_group_IT_number 1
_space_group_name_Hall 'P 1'
loop_
_atom_site_label
_atom_site_type_symbol
_atom_site_fract_x
_atom_site_fract_y
_atom_site_fract_z
Nd1 Nd 0.916 0.416 0.832
Nd2 Nd 0.584 0.084 0.168
Nd3 Nd 0.416 0.916 0.832
Nd4 Nd 0.084 0.584 0.168
N1 N 0.397 0.397 0.794
N2 N 0.603 0.603 0.206
Pb1 Pb 0.000 0.000 0.000
Pb2 Pb 0.178 0.177 0.355
Pb3 Pb 0.822 0.823 0.645
Pr1 Pr 0.692 0.692 0.384
Pr2 Pr 0.308 0.308 0.616
```

Summary:
Crystal system: tetragonal
DFT total energy (eV/cell): -65.58
Space group: I4/mmm, No. 139



Material: Pr4Nd2Pb3N2
Method: DFT, PBE-GGA
State: optimized geometry

Cell and atoms, written as CIF:
```
data_Pr4Nd2Pb3N2
_cell_length_a 4.942
_cell_length_b 4.942
_cell_length_c 13.650
_cell_angle_alpha 100.43
_cell_angle_beta 100.43
_cell_angle_gamma 90.00
_space_group_name_H-M_alt 'P 1'
_space_group_IT_number 1
_space_group_name_Hall 'P 1'
loop_
_atom_site_label
_atom_site_type_symbol
_atom_site_fract_x
_atom_site_fract_y
_atom_site_fract_z
Pr1 Pr 0.415 0.915 0.831
Pr2 Pr 0.915 0.415 0.831
Pr3 Pr 0.585 0.085 0.169
Pr4 Pr 0.085 0.585 0.169
Pb1 Pb 0.000 0.000 0.000
Pb2 Pb 0.178 0.178 0.357
Pb3 Pb 0.822 0.822 0.643
N1 N 0.395 0.395 0.790
N2 N 0.605 0.605 0.210
Nd1 Nd 0.307 0.307 0.615
Nd2 Nd 0.693 0.693 0.385
```

Summary:
Crystal system: tetragonal
DFT total energy (eV/cell): -65.37
Space group: I4/mmm, No. 139



> The lowest DFT total energy belongs to which entry?

Nd10Pb4N3